! Nd6HRh2Cl3 | Alexandria via LeMat-Bulk | GGA-PBE | optimized geometry; values from VASP
&SYSTEM
  ibrav = 0, nat = 12, ntyp = 4
/
ATOMIC_SPECIES
Nd 144.24 Nd.upf
Rh 102.91 Rh.upf
Cl 35.45 Cl.upf
H 1.01 H.upf
ATOMIC_POSITIONS angstrom
Nd 3.450 2.047 5.963
Rh 3.455 2.028 -0.005
Cl 1.159 2.006 3.751
Nd -1.133 1.965 1.539
Rh 0.030 4.006 -0.005
Cl -2.245 3.972 3.751
Nd 2.327 4.030 1.576
H 0.000 0.000 0.000
Nd -0.010 -0.017 5.926
Cl 4.562 0.040 3.751
Nd 2.268 0.001 1.539
Nd 0.049 4.011 5.963
CELL_PARAMETERS angstrom
6.915 0.030 -0.005
-3.430 6.004 -0.005
-1.167 -2.021 7.512
! space-group type = No. 12
! DOS(E_F) = 9.57 states/eV per cell



! Ce5Sc2Pb5 | Alexandria via LeMat-Bulk | GGA-PBE | optimized geometry; values from VASP
&SYSTEM
  ibrav = 0, nat = 12, ntyp = 3
/
ATOMIC_SPECIES
Sc 44.96 Sc.upf
Pb 207.20 Pb.upf
Ce 140.12 Ce.upf
ATOMIC_POSITIONS angstrom
Sc -4.522 -4.092 1.639
Pb 1.292 -1.246 8.926
Pb 1.262 -1.913 4.459
Ce -3.053 -0.836 0.596
Ce -1.712 -0.852 3.041
Pb -1.554 -2.977 5.743
Sc 4.230 -0.798 8.563
Pb -1.584 -3.644 1.276
Ce 1.420 -4.038 7.161
Ce 1.284 0.857 6.521
Pb 0.000 0.000 0.000
Ce 2.760 -4.054 9.606
CELL_PARAMETERS angstrom
-3.362 2.112 1.857
-2.860 -6.605 -2.841
5.930 -0.397 11.186
! space-group type = No. 12
! formation energy = -0.27 eV per atom
! DOS(E_F) = 27.36 states/eV per cell



Total DFT energy (no corrections), record by record: -64.466 -64.109 eV per cell